Entry 1:
Below is a geometry-optimized Ca2ReC structure, with properties calculated at the PBE level.

Unit cell a=9.901 b=9.901 c=3.975 alpha=90.00 beta=90.00 gamma=90.00
Space group I-42d (No. 122)
Symmetry-distinct sites (fractional):
Ca 0.069 0.250 0.125 (multiplicity 8)
Re 0.000 0.000 0.500 (multiplicity 4)
C 0.000 0.000 0.000 (multiplicity 4)

Summary:
Crystal system: tetragonal
Uncorrected energy: -6.031 eV/atom
ΔE_f: 37.4 kJ/mol of atoms

***

Entry 2:
Below is a geometry-optimized Tl2RhAu structure, with properties calculated at the PBE level.

Unit cell a=3.4812 b=3.4812 c=24.7203 alpha=90.00 beta=90.00 gamma=120.00
Space group R-3m (No. 166, hexagonal axes)
Symmetry-distinct sites (fractional):
Tl 0.0000 0.0000 0.2456 (multiplicity 6)
Rh 0.0000 0.0000 0.5000 (multiplicity 3)
Au 0.0000 0.0000 0.0000 (multiplicity 3)

Summary:
Crystal system: trigonal
Uncorrected energy: -3.645 eV/atom
ΔE_f: 18.8 kJ/mol of atoms

***

Entry 3:
Below is a geometry-optimized Sr2PaMnN4 structure, with properties calculated at the PBE level.

Unit cell a=5.699 b=3.668 c=6.145 alpha=90.00 beta=105.87 gamma=90.00
Space group P2/m (No. 10)
Symmetry-distinct sites (fractional):
Sr 0.000 0.000 0.000 (multiplicity 1)
Sr 0.500 0.500 0.000 (multiplicity 1)
Pa 0.000 0.500 0.500 (multiplicity 1)
Mn 0.500 0.000 0.500 (multiplicity 1)
N 0.241 0.500 0.285 (multiplicity 2)
N 0.255 0.000 0.693 (multiplicity 2)

Summary:
Crystal system: monoclinic
Uncorrected energy: -7.778 eV/atom

***

Entry 4:
Below is a geometry-optimized Th6As3P2Se structure, with properties calculated at the PBE level.

Unit cell a=18.324 b=4.210 c=8.419 alpha=90.00 beta=103.15 gamma=90.00
Space group C2/m (No. 12)
Symmetry-distinct sites (fractional):
Th 0.004 0.000 0.255 (multiplicity 4)
Th 0.169 0.500 0.095 (multiplicity 4)
Th 0.170 0.500 0.577 (multiplicity 4)
As 0.000 0.500 0.500 (multiplicity 2)
As 0.165 0.000 0.834 (multiplicity 4)
P 0.167 0.000 0.334 (multiplicity 4)
Se 0.000 0.500 0.000 (multiplicity 2)

Summary:
Crystal system: monoclinic
Uncorrected energy: -7.548 eV/atom

***

Entry 5:
Below is a geometry-optimized FeGeN structure, with properties calculated at the PBE level.

Unit cell a=2.9615 b=2.9615 c=4.5618 alpha=90.00 beta=90.00 gamma=120.00
Space group P3m1 (No. 156)
Symmetry-distinct sites (fractional):
Fe 0.0000 0.0000 0.0000 (multiplicity 1)
Ge 0.6667 0.3333 0.3791 (multiplicity 1)
N 0.6667 0.3333 0.7940 (multiplicity 1)

Summary:
Crystal system: trigonal
Uncorrected energy: -6.936 eV/atom
Relative energy among the computed polymorphs: 0.0314 eV/atom

***

Entry 6:
Below is a geometry-optimized DyY2Si2 structure, with properties calculated at the PBE level.

Unit cell a=12.178 b=4.305 c=10.383 alpha=90.00 beta=116.77 gamma=90.00
Space group C2/m (No. 12)
Symmetry-distinct sites (fractional):
Dy 0.220 0.000 0.361 (multiplicity 4)
Y 0.017 0.500 0.688 (multiplicity 4)
Y 0.181 0.500 0.087 (multiplicity 4)
Si 0.023 0.000 0.897 (multiplicity 4)
Si 0.111 0.000 0.560 (multiplicity 4)

Summary:
Crystal system: monoclinic
Uncorrected energy: -6.292 eV/atom
Relative energy among the computed polymorphs: 0.0975 eV/atom

***

Entry 7:
Below is a geometry-optimized ZrTl2Br structure, with properties calculated at the PBE level.

Unit cell a=7.620 b=7.620 c=7.620 alpha=90.00 beta=90.00 gamma=90.00
Space group Fm-3m (No. 225)
Symmetry-distinct sites (fractional):
Zr 0.000 0.000 0.000 (multiplicity 4)
Tl 0.250 0.250 0.250 (multiplicity 8)
Br 0.000 0.000 0.500 (multiplicity 4)

Summary:
Crystal system: cubic
Uncorrected energy: -3.377 eV/atom
Relative energy among the computed polymorphs: 0.7582 eV/atom

***

Entry 8:
Below is a geometry-optimized PmURuPt structure, with properties calculated at the PBE level.

Unit cell a=6.961 b=6.961 c=6.961 alpha=90.00 beta=90.00 gamma=90.00
Space group F-43m (No. 216)
Symmetry-distinct sites (fractional):
Pm 0.000 0.000 0.000 (multiplicity 4)
U 0.000 0.000 0.500 (multiplicity 4)
Ru 0.250 0.250 0.750 (multiplicity 4)
Pt 0.250 0.250 0.250 (multiplicity 4)

Summary:
Crystal system: cubic
Uncorrected energy: -8.232 eV/atom
ΔE_f: -37.9 kJ/mol of atoms

***

Entry 9:
Below is a geometry-optimized Sm2SbBr3 structure, with properties calculated at the PBE level.

Unit cell a=17.988 b=4.495 c=14.136 alpha=90.00 beta=126.94 gamma=90.00
Space group C2/m (No. 12)
Symmetry-distinct sites (fractional):
Sm 0.110 0.000 0.452 (multiplicity 4)
Sm 0.138 0.500 0.832 (multiplicity 4)
Sb 0.103 0.000 0.666 (multiplicity 4)
Br 0.058 0.500 0.272 (multiplicity 4)
Br 0.157 0.000 0.998 (multiplicity 4)
Br 0.239 0.500 0.595 (multiplicity 4)

Summary:
Crystal system: monoclinic
Uncorrected energy: -4.593 eV/atom

***

Entry 10:
Below is a geometry-optimized AcDyEr structure, with properties calculated at the PBE level.

Unit cell a=9.455 b=5.455 c=9.778 alpha=90.00 beta=90.02 gamma=90.00
Space group Cm (No. 8)
Symmetry-distinct sites (fractional):
Ac 0.000 0.000 0.000 (multiplicity 2)
Ac 0.167 0.500 0.268 (multiplicity 2)
Dy 0.000 0.000 0.530 (multiplicity 2)
Dy 0.167 0.500 0.911 (multiplicity 2)
Er 0.167 0.500 0.606 (multiplicity 2)
Er 0.333 0.000 0.743 (multiplicity 2)

Summary:
Crystal system: monoclinic
Uncorrected energy: -3.818 eV/atom
ΔE_f: 58.6 kJ/mol of atoms
Relative energy among the computed polymorphs: 0.5406 eV/atom

***

Entry 11:
Below is a geometry-optimized MgAl2Cd structure, with properties calculated at the PBE level.

Unit cell a=3.025 b=5.251 c=10.175 alpha=90.00 beta=90.00 gamma=90.00
Space group Imm2 (No. 44)
Symmetry-distinct sites (fractional):
Mg 0.000 0.000 0.000 (multiplicity 2)
Al 0.000 0.000 0.483 (multiplicity 2)
Al 0.000 0.500 0.753 (multiplicity 2)
Cd 0.000 0.500 0.234 (multiplicity 2)

Summary:
Crystal system: orthorhombic
Uncorrected energy: -2.395 eV/atom
ΔE_f: 10.0 kJ/mol of atoms

***

Entry 12:
Below is a geometry-optimized LiCuAs2 structure, with properties calculated at the PBE level.

Unit cell a=2.898 b=5.702 c=8.117 alpha=90.00 beta=90.00 gamma=90.00
Space group Amm2 (No. 38)
Symmetry-distinct sites (fractional):
Li 0.000 0.000 0.000 (multiplicity 2)
Cu 0.500 0.000 0.490 (multiplicity 2)
As 0.500 0.238 0.746 (multiplicity 4)

Summary:
Crystal system: orthorhombic
Uncorrected energy: -3.981 eV/atom
ΔE_f: -14.8 kJ/mol of atoms
Relative energy among the computed polymorphs: 0.0376 eV/atom